(1)
Material: BeZnW
Method: DFT, PBE
State: optimized geometry

a b c (Å): 4.074 4.074 4.074
angles (deg): 60.00 60.00 60.00
Element x y z (fractional)
Be 0.250 0.250 0.250
W 0.000 0.000 0.000
Zn 0.750 0.750 0.750

(2)
Material: ZrBe2W
Method: DFT, PBE
State: optimized geometry

a b c (Å): 4.367 4.367 4.367
angles (deg): 60.00 60.00 60.00
Element x y z (fractional)
Be 0.000 0.000 0.000
Be 0.750 0.750 0.750
W 0.250 0.250 0.250
Zr 0.500 0.500 0.500

(3)
Material: Y2BeZn
Method: DFT, PBE
State: optimized geometry

a b c (Å): 4.935 4.935 4.935
angles (deg): 60.00 60.00 60.00
Each line ends with the local moment (μB).
Element x y z (fractional)
Be 0.250 0.250 0.250  0.00
Y 0.000 0.000 0.000  0.24
Y 0.750 0.750 0.750  0.22
Zn 0.500 0.500 0.500  0.01

(4)
Material: YBeZn
Method: DFT, PBE
State: optimized geometry

a b c (Å): 4.576 4.576 4.576
angles (deg): 60.00 60.00 60.00
Element x y z (fractional)
Be 0.500 0.500 0.500
Y 0.250 0.250 0.250
Zn 0.000 0.000 0.000

(5)
Material: Y2ZrBe
Method: DFT, PBE
State: optimized geometry

a b c (Å): 5.079 5.079 5.079
angles (deg): 60.00 60.00 60.00
Each line ends with the local moment (μB).
Element x y z (fractional)
Be 0.500 0.500 0.500  -0.02
Y 0.000 0.000 0.000  0.26
Y 0.750 0.750 0.750  0.13
Zr 0.250 0.250 0.250  0.39

(6)
Material: YZr2Be
Method: DFT, PBE
State: optimized geometry

a b c (Å): 4.936 4.936 4.936
angles (deg): 60.00 60.00 60.00
Element x y z (fractional)
Be 0.500 0.500 0.500
Y 0.250 0.250 0.250
Zr 0.000 0.000 0.000
Zr 0.750 0.750 0.750

(7)
Material: BeZn3
Method: DFT, PBE
State: optimized geometry

a b c (Å): 5.249 5.251 4.304
angles (deg): 90.00 90.00 119.99
Element x y z (fractional)
Be 0.995 0.489 0.000
Be 0.839 0.177 0.500
Zn 0.996 0.010 0.000
Zn 0.514 0.010 0.000
Zn 0.503 0.505 0.000
Zn 0.331 0.162 0.500
Zn 0.837 0.657 0.500
Zn 0.319 0.657 0.500

(8)
Material: Be2Zn
Method: DFT, PBE
State: optimized geometry

Summary:
E above lowest polymorph: 1701.4 meV per atom

a b c (Å): 7.068 7.068 7.068
angles (deg): 60.00 60.00 60.00
Element x y z (fractional)
Be 0.875 0.375 0.375
Be 0.375 0.875 0.375
Be 0.375 0.375 0.375
Be 0.375 0.375 0.875
Zn 0.250 0.250 0.250
Zn 0.500 0.500 0.500

(9)
Material: Be2Zn
Method: DFT, PBE
State: optimized geometry

Summary:
E above lowest polymorph: 7.3 meV per atom

a b c (Å): 4.357 4.357 7.214
angles (deg): 90.00 90.00 120.00
Element x y z (fractional)
Be 0.000 0.000 0.000
Be 0.329 0.165 0.250
Be 0.835 0.165 0.250
Be 0.835 0.671 0.250
Be 0.000 0.000 0.500
Be 0.165 0.329 0.750
Be 0.165 0.835 0.750
Be 0.671 0.835 0.750
Zn 0.333 0.667 0.061
Zn 0.333 0.667 0.439
Zn 0.667 0.333 0.561
Zn 0.667 0.333 0.939

(10)
Material: Be2Zn
Method: DFT, PBE
State: optimized geometry

Summary:
E above lowest polymorph: 0.0 meV per atom

a b c (Å): 4.381 4.381 4.381
angles (deg): 60.00 60.00 60.00
Element x y z (fractional)
Be 0.125 0.125 0.125
Be 0.625 0.125 0.125
Be 0.125 0.625 0.125
Be 0.125 0.125 0.625
Zn 0.500 0.500 0.500
Zn 0.750 0.750 0.750

(11)
Material: Be2Zn
Method: DFT, PBE
State: optimized geometry

Summary:
E above lowest polymorph: 218.9 meV per atom

a b c (Å): 2.532 2.487 5.965
angles (deg): 96.20 102.26 59.40
Element x y z (fractional)
Be 0.176 0.000 0.352
Be 0.824 0.000 0.648
Zn 0.500 0.000 0.000

(12)
Material: BeZn3
Method: DFT, PBE
State: optimized geometry

a b c (Å): 4.574 5.265 4.249
angles (deg): 90.00 90.00 90.00
Element x y z (fractional)
Be 0.994 0.000 0.000
Be 0.339 0.500 0.500
Zn 0.498 0.249 0.000
Zn 0.015 0.500 0.000
Zn 0.498 0.751 0.000
Zn 0.319 0.000 0.500
Zn 0.836 0.251 0.500
Zn 0.836 0.749 0.500

(13)
Material: ZrBe2Zn2
Method: DFT, PBE
State: optimized geometry

Summary:
E above lowest polymorph: 93.3 meV per atom

a b c (Å): 3.847 3.847 5.362
angles (deg): 111.02 111.02 90.00
Element x y z (fractional)
Be 0.750 0.250 0.500
Be 0.250 0.750 0.500
Zn 0.628 0.628 0.255
Zn 0.372 0.372 0.745
Zr 0.000 0.000 0.000

(14)
Material: ZrBe2Zn
Method: DFT, PBE
State: optimized geometry

a b c (Å): 4.262 4.262 4.262
angles (deg): 60.00 60.00 60.00
Element x y z (fractional)
Be 0.000 0.000 0.000
Be 0.250 0.250 0.250
Zn 0.500 0.500 0.500
Zr 0.750 0.750 0.750

(15)
Material: ZrBe2Zn2
Method: DFT, PBE
State: optimized geometry

Summary:
E above lowest polymorph: 0.0 meV per atom

a b c (Å): 3.719 3.719 5.498
angles (deg): 109.77 109.77 90.00
Element x y z (fractional)
Be 0.605 0.605 0.209
Be 0.395 0.395 0.791
Zn 0.750 0.250 0.500
Zn 0.250 0.750 0.500
Zr 0.000 0.000 0.000

(16)
Material: ZrBe2
Method: DFT, PBE
State: optimized geometry

a b c (Å): 3.820 3.820 3.240
angles (deg): 90.00 90.00 120.00
Element x y z (fractional)
Be 0.667 0.333 0.500
Be 0.333 0.667 0.500
Zr 0.000 0.000 0.000

(17)
Material: Zr2Be
Method: DFT, PBE
State: optimized geometry

a b c (Å): 5.585 5.585 5.585
angles (deg): 60.00 60.00 60.00
Element x y z (fractional)
Be 0.000 0.000 0.000
Be 0.250 0.250 0.250
Zr 0.625 0.625 0.125
Zr 0.625 0.125 0.625
Zr 0.125 0.625 0.625
Zr 0.625 0.625 0.625

(18)
Material: Zr2Be
Method: DFT, PBE
State: optimized geometry

a b c (Å): 11.887 9.110 4.214
angles (deg): 90.00 90.00 76.54
Element x y z (fractional)
Be 0.006 0.017 0.000
Be 0.546 0.121 0.000
Be 0.817 0.440 0.000
Be 0.041 0.691 0.000
Be 0.648 0.240 0.500
Be 0.189 0.344 0.500
Be 0.154 0.669 0.500
Be 0.377 0.921 0.500
Zr 0.771 0.095 0.000
Zr 0.327 0.106 0.000
Zr 0.045 0.303 0.000
Zr 0.572 0.414 0.000
Zr 0.246 0.486 0.000
Zr 0.798 0.753 0.000
Zr 0.515 0.775 0.000
Zr 0.224 0.822 0.000
Zr 0.149 0.058 0.500
Zr 0.867 0.255 0.500
Zr 0.423 0.267 0.500
Zr 0.971 0.539 0.500
Zr 0.680 0.587 0.500
Zr 0.396 0.609 0.500
Zr 0.949 0.875 0.500
Zr 0.623 0.948 0.500

(19)
Material: ZrBe13
Method: DFT, PBE
State: optimized geometry

a b c (Å): 7.066 7.066 7.066
angles (deg): 120.00 90.00 120.00
Element x y z (fractional)
Be 0.000 0.000 0.000
Be 0.293 0.355 0.062
Be 0.707 0.000 0.062
Be 0.062 0.769 0.062
Be 0.438 0.000 0.207
Be 0.207 0.645 0.207
Be 0.562 0.769 0.207
Be 0.293 0.231 0.293
Be 0.062 0.355 0.293
Be 0.938 0.000 0.293
Be 0.793 0.231 0.438
Be 0.207 0.000 0.438
Be 0.438 0.645 0.438
Be 0.500 0.000 0.500
Be 0.793 0.000 0.562
Be 0.562 0.355 0.562
Be 0.207 0.769 0.562
Be 0.938 0.645 0.707
Be 0.062 0.000 0.707
Be 0.707 0.769 0.707
Be 0.438 0.231 0.793
Be 0.793 0.355 0.793
Be 0.562 0.000 0.793
Be 0.707 0.645 0.938
Be 0.293 0.000 0.938
Be 0.938 0.231 0.938
Zr 0.750 0.500 0.250
Zr 0.250 0.500 0.750

(20)
Material: Zr2Be
Method: DFT, PBE
State: optimized geometry

a b c (Å): 5.202 5.202 13.993
angles (deg): 90.00 90.00 120.00
Each line ends with the local moment (μB).
Element x y z (fractional)
Be 0.000 0.000 0.167  0.01
Be 0.000 0.500 0.167  0.00
Be 0.000 0.000 0.500  0.01
Be 0.500 0.000 0.500  0.01
Be 0.000 0.000 0.833  0.01
Be 0.500 0.500 0.833  0.01
Zr 0.172 0.345 0.000  0.01
Zr 0.828 0.655 0.000  0.01
Zr 0.500 0.000 0.105  0.03
Zr 0.500 0.500 0.228  0.04
Zr 0.828 0.172 0.333  0.01
Zr 0.172 0.828 0.333  0.01
Zr 0.500 0.500 0.438  0.05
Zr 0.000 0.500 0.562  0.05
Zr 0.345 0.172 0.667  0.01
Zr 0.655 0.828 0.667  0.01
Zr 0.000 0.500 0.772  0.07
Zr 0.500 0.000 0.895  0.06

no.,uncorrected energy (eV/atom),calculated volume (Å³/atom)
1,-4.764,15.93
2,-6.616,14.72
3,-4.079,21.25
4,-3.206,22.58
5,-5.881,23.16
6,-6.498,21.25
7,-1.742,12.84
8,-1.159,41.61
9,-2.853,9.88
10,-2.860,9.91
11,-2.641,10.53
12,-1.750,12.79
13,-3.825,13.68
14,-4.258,13.68
15,-3.918,13.36
16,-5.513,13.64
17,-6.130,20.53
18,-6.940,18.49
19,-4.292,8.91
20,-6.963,18.22